# Li2CuI4

A relaxed Li2CuI4 crystal (GGA-PBE, Alexandria).

Results
* raw formation energy: -0.4974 eV per atom
* symmetry: I4/mmm (139)
* DOS at the Fermi energy: 8.0 states/eV per cell
* total moment: 0.000 μB per formula unit

The structure in POSCAR format:
```
Li2CuI4
1.0
-4.808 -2.296 -1.659
2.824 -4.150 -2.439
-1.289 -7.012 4.055
I Cu Li
4 1 2
Direct
0.193 0.193 0.613 I
0.807 0.807 0.387 I
0.000 0.500 0.000 I
0.500 0.000 0.000 I
0.000 0.000 0.000 Cu
0.381 0.381 0.237 Li
0.619 0.619 0.763 Li
```